1.
DFT (PBE-GGA) results for a relaxed KHg crystal.

The value obtained for the total energy is -0.70 eV/atom.

The structure belongs to space group I-43m (No. 217); the cell edges are 10.418, 10.418 and 10.418 Å and the angles 90.00°, 90.00° and 90.00°. The inequivalent atoms are K at (0.205, 0.205, 0.205) and Hg at (0.109, 0.109, 0.891).

2.
DFT (PBE-GGA) results for a relaxed KHg crystal.

The value obtained for the total energy is -0.87 eV/atom.

The structure belongs to space group Amm2 (No. 38); the cell edges are 4.256, 11.669 and 9.916 Å and the angles 90.00°, 90.00° and 90.00°. The inequivalent atoms are K at (0.000, 0.000, 0.000), K at (0.000, 0.158, 0.438), Hg at (0.500, 0.000, 0.685) and Hg at (0.500, 0.233, 0.178).